Below is NiAsPCl2 after structural relaxation, with properties calculated at the PBE-GGA level.

Density of states at the Fermi level   0.54 states/eV per atom
Spin magnetization   0.000 μB/atom

Unit cell a=4.4422 b=4.4422 c=4.7333 alpha=90.00 beta=90.00 gamma=90.00
With the nearest neighbours (Å) after each atom.
Space group P4/mmm (No. 123)
One atom of each set of equivalent atoms:
Ni: 0.0000 0.0000 0.0000 x1  4 Cl 2.22, 2 P 2.37
As: 0.5000 0.5000 0.5000 x1  4 P 3.14, 8 Cl 3.25
P: 0.0000 0.0000 0.5000 x1  2 Ni 2.37
Cl: 0.0000 0.5000 0.0000 x2  2 Ni 2.22


Below is Pr4NiAsCl2 after structural relaxation, with properties calculated at the PBE-GGA level.

Density of states at the Fermi level   0.73 states/eV per atom
Spin magnetization   0.000 μB/atom

Unit cell a=7.3739 b=4.0855 c=7.5165 alpha=90.00 beta=108.10 gamma=90.00
With the nearest neighbours (Å) after each atom.
Space group P2/m (No. 10)
One atom of each set of equivalent atoms:
Pr: 0.2144 0.0000 0.2191 x2  2 Ni 2.79, 1 As 3.00, 1 Cl 3.05
Pr: 0.2304 0.5000 0.7477 x2  1 Ni 2.91, 2 As 2.93, 3 Cl 3.06-3.12
Ni: 0.0000 0.5000 0.0000 x1  6 Pr 2.79-2.91
As: 0.0000 0.0000 0.5000 x1  6 Pr 2.93-3.00
Cl: 0.5000 0.0000 0.0000 x1  6 Pr 3.05-3.06
Cl: 0.5000 0.5000 0.5000 x1  6 Pr 3.12-3.21


Below is Rb2NiAsCl6 after structural relaxation, with properties calculated at the PBE-GGA level.

Density of states at the Fermi level   0.26 states/eV per atom
Spin magnetization   0.100 μB/atom

Unit cell a=7.3724 b=7.3724 c=9.0939 alpha=90.00 beta=90.00 gamma=90.00
With the nearest neighbours (Å) after each atom.
Space group I4/mmm (No. 139)
One atom of each set of equivalent atoms:
Rb: 0.0000 0.5000 0.2500 x4  12 Cl 3.46-3.69
Ni: 0.0000 0.0000 0.0000 x2  2 Cl 2.17
As: 0.0000 0.0000 0.5000 x2  6 Cl 2.38-2.60
Cl: 0.0000 0.0000 0.2382 x4  1 Ni 2.17, 1 As 2.38
Cl: 0.2490 0.2490 0.5000 x8  1 As 2.60, 1 Ni 2.62


Below is NiAsRuCl2 after structural relaxation, with properties calculated at the PBE-GGA level.

Density of states at the Fermi level   1.13 states/eV per atom
Spin magnetization   0.550 μB/atom

Unit cell a=5.0539 b=5.0539 c=4.7320 alpha=90.00 beta=90.00 gamma=90.00
With the nearest neighbours (Å) after each atom.
Space group P4/mmm (No. 123)
One atom of each set of equivalent atoms:
Ni: 0.0000 0.0000 0.0000 x1  8 Cl 3.46, 4 Ru 3.57
As: 0.5000 0.5000 0.5000 x1  2 Ru 2.37, 4 Cl 2.53
Ru: 0.5000 0.5000 0.0000 x1  2 As 2.37
Cl: 0.0000 0.5000 0.5000 x2  2 As 2.53


Below is NiAsSCl2 after structural relaxation, with properties calculated at the PBE-GGA level.

Density of states at the Fermi level   0.61 states/eV per atom
Spin magnetization   0.000 μB/atom

Unit cell a=4.4648 b=4.4648 c=4.6707 alpha=90.00 beta=90.00 gamma=90.00
With the nearest neighbours (Å) after each atom.
Space group P4/mmm (No. 123)
One atom of each set of equivalent atoms:
Ni: 0.0000 0.0000 0.0000 x1  4 Cl 2.23, 2 S 2.34
As: 0.5000 0.5000 0.5000 x1  4 S 3.16, 8 Cl 3.23
S: 0.0000 0.0000 0.5000 x1  2 Ni 2.34
Cl: 0.0000 0.5000 0.0000 x2  2 Ni 2.23


Below is NiAsS2Cl after structural relaxation, with properties calculated at the PBE-GGA level.

Density of states at the Fermi level   0.75 states/eV per atom
Spin magnetization   0.000 μB/atom

Unit cell a=4.5084 b=4.5084 c=4.4247 alpha=90.00 beta=90.00 gamma=90.00
With the nearest neighbours (Å) after each atom.
Space group P4/mmm (No. 123)
One atom of each set of equivalent atoms:
Ni: 0.0000 0.0000 0.0000 x1  2 Cl 2.21, 4 S 2.25
As: 0.5000 0.5000 0.5000 x1  8 S 3.16, 4 Cl 3.19
S: 0.0000 0.5000 0.0000 x2  2 Ni 2.25
Cl: 0.0000 0.0000 0.5000 x1  2 Ni 2.21


Below is TlNiAsCl6 after structural relaxation, with properties calculated at the PBE-GGA level.

Spin magnetization   0.225 μB/atom

Unit cell a=6.4301 b=6.4301 c=7.1902 alpha=90.00 beta=90.00 gamma=120.00
With the nearest neighbours (Å) after each atom.
Space group P312 (No. 149)
One atom of each set of equivalent atoms:
Tl: 0.0000 0.0000 0.0000 x1  6 Cl 3.24
Ni: 0.3333 0.6667 0.5000 x1  6 Cl 2.42
As: 0.6667 0.3333 0.5000 x1  6 Cl 2.52
Cl: 0.0127 0.3764 0.6944 x6  1 Ni 2.42, 1 As 2.52


Below is NpAsCl after structural relaxation, with properties calculated at the PBE-GGA level.

Density of states at the Fermi level   1.57 states/eV per atom
Spin magnetization   1.351 μB/atom

Unit cell a=5.3639 b=9.5006 c=5.0412 alpha=90.00 beta=90.00 gamma=90.00
With the nearest neighbours (Å) after each atom.
Space group Cmcm (No. 63)
One atom of each set of equivalent atoms:
Np: 0.0000 0.2464 0.2500 x4  4 Cl 2.82-3.00, 3 As 3.00-3.11
As: 0.0000 0.4382 0.7500 x4  2 As 2.78, 3 Np 3.00-3.11, 1 Cl 3.09
Cl: 0.0000 0.1125 0.7500 x4  4 Np 2.82-3.00, 3 As 3.09-3.15


Below is NpAsCl after structural relaxation, with properties calculated at the PBE-GGA level.

Density of states at the Fermi level   2.69 states/eV per atom
Spin magnetization   1.139 μB/atom

Unit cell a=4.6212 b=4.6212 c=3.6255 alpha=90.00 beta=90.00 gamma=120.00
With the nearest neighbours (Å) after each atom.
Space group P-6m2 (No. 187)
One atom of each set of equivalent atoms:
Np: 0.0000 0.0000 0.0000 x1  3 Cl 2.67
As: 0.6667 0.3333 0.5000 x1  6 Np 3.23, 6 Cl 3.23
Cl: 0.3333 0.6667 0.0000 x1  3 Np 2.67


Below is As2ClO after structural relaxation, with properties calculated at the PBE-GGA level.

Density of states at the Fermi level   0.56 states/eV per atom
Spin magnetization   0.000 μB/atom

Unit cell a=6.3195 b=6.3195 c=6.3195 alpha=90.00 beta=90.00 gamma=90.00
With the nearest neighbours (Å) after each atom.
Space group Fm-3m (No. 225)
One atom of each set of equivalent atoms:
As: 0.2500 0.2500 0.2500 x8  4 O 2.74, 4 Cl 2.74
Cl: 0.0000 0.0000 0.0000 x4  8 As 2.74
O: 0.0000 0.0000 0.5000 x4  8 As 2.74


Below is As3ClO after structural relaxation, with properties calculated at the PBE-GGA level.

Density of states at the Fermi level   1.69 states/eV per atom
Spin magnetization   0.000 μB/atom

Unit cell a=4.8282 b=4.8282 c=4.8282 alpha=90.00 beta=90.00 gamma=90.00
With the nearest neighbours (Å) after each atom.
Space group Pm-3m (No. 221)
One atom of each set of equivalent atoms:
As: 0.0000 0.0000 0.5000 x3  2 Cl 2.41
Cl: 0.0000 0.0000 0.0000 x1  6 As 2.41
O: 0.5000 0.5000 0.5000 x1  12 As 3.41


Below is AsCl3O after structural relaxation, with properties calculated at the PBE-GGA level.

Density of states at the Fermi level   2.38 states/eV per atom
Spin magnetization   0.400 μB/atom

Unit cell a=4.9570 b=4.9570 c=4.9570 alpha=90.00 beta=90.00 gamma=90.00
With the nearest neighbours (Å) after each atom.
Space group Pm-3m (No. 221)
One atom of each set of equivalent atoms:
As: 0.0000 0.0000 0.0000 x1  6 Cl 2.48
Cl: 0.0000 0.0000 0.5000 x3  2 As 2.48
O: 0.5000 0.5000 0.5000 x1  12 Cl 3.51


Uncorrected formation energy in meV/atom, matching the order above: 341 -1198 -1042 1054 209 347 -700 -698 -630 629 1617 257